Entry 1:
First-principles (GGA-PBE) data for PrHoTe6 after structural relaxation, as listed in Alexandria.

The structure belongs to space group Amm2 (No. 38); the cell edges are 4.371, 4.369 and 27.169 Å and the angles 90.00°, 90.00° and 90.00°. The distinct sites, in fractional coordinates, are Pr at (0.000, 0.000, 0.000), Ho at (0.500, 0.000, 0.655), Te at (0.000, 0.000, 0.122), Te at (0.000, 0.000, 0.404), Te at (0.000, 0.000, 0.747), Te at (0.500, 0.000, 0.247), Te at (0.500, 0.000, 0.538) and Te at (0.500, 0.000, 0.904).

The calculation puts the total energy at -71.509 eV/cell. The uncorrected formation energy comes out at -943 meV per atom.

Entry 2:
First-principles (GGA-PBE) data for PrHo2Te4 after structural relaxation, as listed in Alexandria.

The structure belongs to space group P2/m (No. 10); the cell edges are 7.540, 4.374 and 7.684 Å and the angles 90.00°, 108.05° and 90.00°. The distinct sites, in fractional coordinates, are Pr at (0.000, 0.000, 0.000), Ho at (0.000, 0.500, 0.500), Ho at (0.500, 0.000, 0.500), Te at (0.250, 0.000, 0.740) and Te at (0.264, 0.500, 0.255).

The calculation puts the total energy at -36.467 eV/cell. The uncorrected formation energy comes out at -1424 meV per atom.

Entry 3:
First-principles (GGA-PBE) data for PrHo3Te4 after structural relaxation, as listed in Alexandria.

The structure belongs to space group Cmmm (No. 65); the cell edges are 8.932, 12.411 and 4.306 Å and the angles 90.00°, 90.00° and 90.00°. The distinct sites, in fractional coordinates, are Pr at (0.000, 0.000, 0.000), Ho at (0.000, 0.500, 0.000), Ho at (0.250, 0.250, 0.500), Te at (0.000, 0.255, 0.000) and Te at (0.239, 0.500, 0.500).

The calculation puts the total energy at -82.790 eV/cell. The uncorrected formation energy comes out at -1289 meV per atom.

Entry 4:
First-principles (GGA-PBE) data for Pr4HoTe7 after structural relaxation, as listed in Alexandria.

The structure belongs to space group Cm (No. 8); the cell edges are 14.729, 4.369 and 13.483 Å and the angles 90.00°, 104.69° and 90.00°. The distinct sites, in fractional coordinates, are Pr at (0.000, 0.000, 0.000), Pr at (0.086, 0.500, 0.381), Pr at (0.187, 0.000, 0.765), Pr at (0.386, 0.500, 0.570), Ho at (0.271, 0.500, 0.148), Te at (0.048, 0.500, 0.622), Te at (0.131, 0.500, 0.928), Te at (0.153, 0.000, 0.223), Te at (0.223, 0.000, 0.524), Te at (0.350, 0.500, 0.789), Te at (0.381, 0.000, 0.076) and Te at (0.421, 0.500, 0.349).

The calculation puts the total energy at -125.734 eV/cell. The uncorrected formation energy comes out at -1432 meV per atom.

Entry 5:
First-principles (GGA-PBE) data for Pr2Ho3Te8 after structural relaxation, as listed in Alexandria.

The structure belongs to space group C2/m (No. 12); the cell edges are 15.560, 8.779 and 7.579 Å and the angles 90.00°, 108.52° and 90.00°. The distinct sites, in fractional coordinates, are Pr at (0.248, 0.000, 0.169), Ho at (0.000, 0.243, 0.500), Ho at (0.000, 0.500, 0.000), Te at (0.117, 0.253, 0.910), Te at (0.117, 0.500, 0.411) and Te at (0.119, 0.000, 0.416).

The calculation puts the total energy at -130.223 eV/cell. The uncorrected formation energy comes out at -1284 meV per atom.

Entry 6:
First-principles (GGA-PBE) data for PrHoTe2 after structural relaxation, as listed in Alexandria.

The structure belongs to space group Fm-3m (No. 225); the cell edges are 7.675, 7.675 and 7.675 Å and the angles 90.00°, 90.00° and 90.00°. The distinct sites, in fractional coordinates, are Pr at (0.000, 0.000, 0.000), Ho at (0.000, 0.000, 0.500) and Te at (0.250, 0.250, 0.250).

The calculation puts the total energy at -82.053 eV/cell. The uncorrected formation energy comes out at -1218 meV per atom.

Entry 7:
First-principles (GGA-PBE) data for PrHo3Te6 after structural relaxation, as listed in Alexandria.

The structure belongs to space group P2_1/m (No. 11); the cell edges are 12.490, 4.391 and 12.841 Å and the angles 90.00°, 109.31° and 90.00°. The distinct sites, in fractional coordinates, are Pr at (0.048, 0.250, 0.198), Ho at (0.156, 0.250, 0.583), Ho at (0.318, 0.750, 0.999), Ho at (0.436, 0.250, 0.335), Te at (0.085, 0.750, 0.405), Te at (0.117, 0.250, 0.968), Te at (0.196, 0.750, 0.750), Te at (0.260, 0.750, 0.223), Te at (0.391, 0.250, 0.559) and Te at (0.483, 0.250, 0.117).

The calculation puts the total energy at -102.764 eV/cell. The uncorrected formation energy comes out at -1402 meV per atom.

Entry 8:
First-principles (GGA-PBE) data for PrHoTe2 after structural relaxation, as listed in Alexandria.

The structure belongs to space group R3m (No. 160, hexagonal axes); the cell edges are 4.3107, 4.3107 and 23.0867 Å and the angles 90.00°, 90.00° and 120.00°. The distinct sites, in fractional coordinates, are Pr at (0.0000, 0.0000, 0.0000), Ho at (0.0000, 0.0000, 0.8257), Te at (0.0000, 0.0000, 0.2411) and Te at (0.0000, 0.0000, 0.4185).

The calculation puts the total energy at -63.444 eV/cell. The uncorrected formation energy comes out at -1377 meV per atom.

Entry 9:
First-principles (GGA-PBE) data for Pr5Ho12Te3 after structural relaxation, as listed in Alexandria.

The structure belongs to space group Ia-3d (No. 230); the cell edges are 18.189, 18.189 and 18.189 Å and the angles 90.00°, 90.00° and 90.00°. The distinct sites, in fractional coordinates, are Pr at (0.000, 0.000, 0.000), Pr at (0.000, 0.250, 0.375), Ho at (0.006, 0.081, 0.650) and Te at (0.000, 0.250, 0.125).

The calculation puts the total energy at -620.976 eV/cell. The uncorrected formation energy comes out at 532 meV per atom.

Entry 10:
First-principles (GGA-PBE) data for Pr3Ho2Te8 after structural relaxation, as listed in Alexandria.

The structure belongs to space group C2/m (No. 12); the cell edges are 15.585, 8.895 and 7.672 Å and the angles 90.00°, 109.03° and 90.00°. The distinct sites, in fractional coordinates, are Pr at (0.000, 0.000, 0.000), Pr at (0.000, 0.260, 0.500), Ho at (0.250, 0.000, 0.834), Te at (0.118, 0.500, 0.382), Te at (0.126, 0.000, 0.424) and Te at (0.127, 0.248, 0.917).

The calculation puts the total energy at -129.401 eV/cell. The uncorrected formation energy comes out at -1236 meV per atom.

Entry 11:
First-principles (GGA-PBE) data for PrHoTe after structural relaxation, as listed in Alexandria.

The structure belongs to space group I4mm (No. 107); the cell edges are 3.942, 3.942 and 11.833 Å and the angles 90.00°, 90.00° and 90.00°. The distinct sites, in fractional coordinates, are Pr at (0.000, 0.000, 0.000), Ho at (0.000, 0.000, 0.309) and Te at (0.000, 0.000, 0.672).

The calculation puts the total energy at -29.648 eV/cell. The uncorrected formation energy comes out at -775 meV per atom.

Entry 12:
First-principles (GGA-PBE) data for PrHo5Te6 after structural relaxation, as listed in Alexandria.

The structure belongs to space group C2/m (No. 12); the cell edges are 7.586, 13.116 and 7.534 Å and the angles 90.00°, 109.36° and 90.00°. The distinct sites, in fractional coordinates, are Pr at (0.000, 0.000, 0.000), Ho at (0.000, 0.154, 0.500), Ho at (0.000, 0.334, 0.000), Ho at (0.000, 0.500, 0.500), Te at (0.236, 0.500, 0.247) and Te at (0.241, 0.327, 0.740).

The calculation puts the total energy at -123.763 eV/cell. The uncorrected formation energy comes out at -1280 meV per atom.

Entry 13:
First-principles (GGA-PBE) data for PrHoTe2 after structural relaxation, as listed in Alexandria.

The structure belongs to space group P4/mmm (No. 123); the cell edges are 5.420, 5.420 and 3.845 Å and the angles 90.00°, 90.00° and 90.00°. The distinct sites, in fractional coordinates, are Pr at (0.000, 0.000, 0.000), Ho at (0.500, 0.500, 0.000) and Te at (0.000, 0.500, 0.500).

The calculation puts the total energy at -20.555 eV/cell. The uncorrected formation energy comes out at -1229 meV per atom.

Entry 14:
First-principles (GGA-PBE) data for Pr3HoTe4 after structural relaxation, as listed in Alexandria.

The structure belongs to space group P2/c (No. 13); the cell edges are 7.825, 8.907 and 7.752 Å and the angles 90.00°, 109.23° and 90.00°. The distinct sites, in fractional coordinates, are Pr at (0.000, 0.121, 0.250), Pr at (0.000, 0.373, 0.750), Pr at (0.500, 0.122, 0.750), Ho at (0.500, 0.373, 0.250), Te at (0.256, 0.132, 0.006) and Te at (0.261, 0.381, 0.499).

The calculation puts the total energy at -85.249 eV/cell. The uncorrected formation energy comes out at -1393 meV per atom.

Entry 15:
First-principles (GGA-PBE) data for PrHoTe after structural relaxation, as listed in Alexandria.

The structure belongs to space group Cc (No. 9); the cell edges are 10.011, 12.097 and 7.914 Å and the angles 90.00°, 128.66° and 90.00°. The distinct sites, in fractional coordinates, are Pr at (0.000, 0.206, 0.000), Pr at (0.326, 0.225, 0.953), Ho at (0.181, 0.478, 0.165), Ho at (0.310, 0.042, 0.618), Te at (0.010, 0.046, 0.669) and Te at (0.150, 0.305, 0.452).

The calculation puts the total energy at -119.039 eV/cell. The uncorrected formation energy comes out at -794 meV per atom.

Entry 16:
First-principles (GGA-PBE) data for Pr3HoTe4 after structural relaxation, as listed in Alexandria.

The structure belongs to space group Cmmm (No. 65); the cell edges are 9.108, 12.690 and 4.415 Å and the angles 90.00°, 90.00° and 90.00°. The distinct sites, in fractional coordinates, are Pr at (0.000, 0.000, 0.000), Pr at (0.250, 0.250, 0.500), Ho at (0.000, 0.500, 0.000), Te at (0.000, 0.256, 0.000) and Te at (0.239, 0.500, 0.500).

The calculation puts the total energy at -85.175 eV/cell. The uncorrected formation energy comes out at -1388 meV per atom.

Entry 17:
First-principles (GGA-PBE) data for Pr2Ho3Te6 after structural relaxation, as listed in Alexandria.

The structure belongs to space group C2/m (No. 12); the cell edges are 7.621, 13.128 and 7.648 Å and the angles 90.00°, 109.50° and 90.00°. The distinct sites, in fractional coordinates, are Pr at (0.000, 0.164, 0.000), Ho at (0.000, 0.000, 0.500), Ho at (0.000, 0.329, 0.500), Te at (0.234, 0.500, 0.741) and Te at (0.245, 0.340, 0.256).

The calculation puts the total energy at -115.461 eV/cell. The uncorrected formation energy comes out at -1417 meV per atom.

Entry 18:
First-principles (GGA-PBE) data for PrHoTe2 after structural relaxation, as listed in Alexandria.

The structure belongs to space group C2/m (No. 12); the cell edges are 7.568, 4.389 and 7.851 Å and the angles 90.00°, 108.95° and 90.00°. The distinct sites, in fractional coordinates, are Pr at (0.000, 0.000, 0.000), Ho at (0.000, 0.500, 0.500) and Te at (0.244, 0.000, 0.733).

The calculation puts the total energy at -42.081 eV/cell. The uncorrected formation energy comes out at -1350 meV per atom.

Entry 19:
First-principles (GGA-PBE) data for Pr3HoTe6 after structural relaxation, as listed in Alexandria.

The structure belongs to space group P2_1/c (No. 14); the cell edges are 7.483, 8.349 and 13.441 Å and the angles 90.00°, 122.41° and 90.00°. The distinct sites, in fractional coordinates, are Pr at (0.000, 0.000, 0.000), Pr at (0.307, 0.119, 0.755), Ho at (0.500, 0.000, 0.500), Te at (0.094, 0.052, 0.257), Te at (0.246, 0.672, 0.080) and Te at (0.421, 0.180, 0.077).

The calculation puts the total energy at -103.457 eV/cell. The uncorrected formation energy comes out at -1396 meV per atom.